The following is a PBE calculation of a geometry-optimized Cd5GeAu6 structure, from Alexandria.

Computed properties:
DOS(E_F): 0.208 states/eV/atom
Symmetry: C2/m
VASP energy: -0.1857 Ry per atom

Cell lengths 4.9279, 6.6096, 8.1030 Å; angles 65.95, 76.38, 89.99 degrees
Fractional coordinates of all 12 atoms:
Au: 0.7717 0.0785 0.3225
Cd: 0.2822 0.3354 0.3293
Cd: 0.7349 0.1747 0.6504
Au: 0.2282 0.4014 0.6772
Cd: 0.7178 0.6646 0.6707
Cd: 0.0000 0.5000 0.0000
Cd: 0.2651 0.8253 0.3496
Au: 0.4998 0.2344 0.9999
Ge: 0.0000 0.0000 0.0000
Au: 0.2283 0.9215 0.6775
Au: 0.5002 0.7656 0.0001
Au: 0.7718 0.5986 0.3228


The following is a PBE calculation of a geometry-optimized CdGeAu2 structure, from Alexandria.

Computed properties:
DOS(E_F): 0.281 states/eV/atom
Symmetry: R3m
VASP energy: -0.2235 Ry per atom

Cell lengths 3.2877, 3.2877, 8.6092 Å; angles 78.99, 78.99, 60.00 degrees
Fractional coordinates of all 4 atoms:
Ge: 0.6669 0.6669 0.9992
Au: 0.0786 0.0786 0.7641
Cd: 0.4999 0.4999 0.5003
Au: 0.2545 0.2545 0.2364


The following is a PBE calculation of a geometry-optimized CdGeAu3 structure, from Alexandria.

Computed properties:
DOS(E_F): 0.269 states/eV/atom
Symmetry: C2/c
VASP energy: -0.2285 Ry per atom

Cell lengths 7.0486, 7.6656, 7.6656 Å; angles 75.33, 79.79, 79.79 degrees
Fractional coordinates of all 20 atoms:
Ge: 0.7174 0.4408 0.7753
Au: 0.9013 0.9891 0.3055
Au: 0.9762 0.3148 0.9999
Au: 0.5238 0.0001 0.6852
Au: 0.8792 0.7336 0.6568
Cd: 0.7500 0.6486 0.3514
Cd: 0.2500 0.3514 0.6486
Au: 0.0987 0.0109 0.6945
Au: 0.4013 0.3055 0.9891
Au: 0.4762 0.9999 0.3148
Au: 0.3792 0.6568 0.7336
Ge: 0.2826 0.5592 0.2247
Au: 0.1208 0.2664 0.3432
Cd: 0.2500 0.9722 0.0278
Au: 0.6208 0.3432 0.2664
Ge: 0.7826 0.2247 0.5592
Ge: 0.2174 0.7753 0.4408
Au: 0.0238 0.6852 0.0001
Cd: 0.7500 0.0278 0.9722
Au: 0.5987 0.6945 0.0109


The following is a PBE calculation of a geometry-optimized Cd2GeAu8 structure, from Alexandria.

Computed properties:
DOS(E_F): 0.317 states/eV/atom
Symmetry: P-1
VASP energy: -0.2210 Ry per atom

Cell lengths 4.6367, 7.9871, 7.4757 Å; angles 124.24, 108.21, 90.05 degrees
Fractional coordinates of all 11 atoms:
Au: 0.8048 0.9416 0.6163
Au: 0.4373 0.2673 0.8707
Cd: 0.1669 0.6806 0.3387
Au: 0.3153 0.5124 0.6276
Au: 0.0563 0.2319 0.1129
Au: 0.9437 0.7681 0.8871
Au: 0.6847 0.4876 0.3724
Au: 0.1952 0.0584 0.3837
Au: 0.5627 0.7327 0.1293
Cd: 0.8331 0.3194 0.6613
Ge: 0.5000 0.0000 0.0000


The following is a PBE calculation of a geometry-optimized CdGeAu2 structure, from Alexandria.

Computed properties:
DOS(E_F): 0.258 states/eV/atom
Symmetry: R-3m
VASP energy: -0.2229 Ry per atom

Cell lengths 3.2994, 3.2994, 8.5865 Å; angles 78.92, 78.92, 60.00 degrees
Fractional coordinates of all 4 atoms:
Ge: 0.0000 0.0000 0.0000
Au: 0.7451 0.7451 0.7647
Cd: 0.5000 0.5000 0.5000
Au: 0.2549 0.2549 0.2353


The following is a PBE calculation of a geometry-optimized Cd2GeAu3 structure, from Alexandria.

Computed properties:
DOS(E_F): 0.286 states/eV/atom
Symmetry: C2/c
VASP energy: -0.2043 Ry per atom

Cell lengths 4.8052, 6.5211, 8.4307 Å; angles 112.77, 106.58, 89.94 degrees
Fractional coordinates of all 12 atoms:
Au: 0.3280 0.3481 0.1589
Au: 0.0000 0.5000 0.5000
Ge: 0.1611 0.4111 0.8222
Cd: 0.8317 0.0817 0.1633
Cd: 0.4894 0.2394 0.4788
Cd: 0.1683 0.9183 0.8367
Au: 0.0000 0.0000 0.5000
Cd: 0.5106 0.7606 0.5212
Au: 0.6720 0.6519 0.8411
Au: 0.6691 0.1893 0.8411
Ge: 0.8389 0.5889 0.1778
Au: 0.3309 0.8107 0.1589


Calculated calculated formation energy (meV per atom), listed in the same order as above: -121.9, -19.1, -36.3, -37.4, -11.1, -66.3
Calculated magnetic moment (μB per formula unit), listed in the same order as above: 0.00, 0.00, 0.00, 0.00, 0.00, 0.00